Entry from Alexandria via LeMat-Bulk: an optimized crystal structure of Hf2Zr5 (PBE-GGA).

Cell: 4.9743 4.9743 22.5844 Å, 90.00 90.00 120.00°
Space group R-3m (No. 166, hexagonal axes)
Unique sites:
Hf1 0.0000 0.0000 0.1358 [6 per cell]
Zr1 0.0000 0.0000 0.0000 [3 per cell]
Zr2 0.0000 0.0000 0.2718 [6 per cell]
Zr3 0.0000 0.0000 0.4190 [6 per cell]

Summary:
Total DFT energy (no corrections): -8.864 eV per atom
M_tot: 0.00 μB per formula unit
DFT formation energy: 0.085 eV/atom
Crystal system: trigonal